First-principles (GGA-PBE) data for a relaxed structure of BeSn, as listed in the Alexandria database.

## Properties
Energy of formation from the pure elements ... 0.35 eV/atom
E ... -3.514 eV per atom
Polymorph energy (0 for the lowest one) ... 0.1257 eV/atom

The structure in extended XYZ format:
```
4
Lattice="3.865 0.000 0.000 -1.932 3.347 0.000 0.000 0.000 5.933" Properties=species:S:1:pos:R:3 pbc="T T T"
Be 0.000 0.000 0.000
Be 0.000 2.231 5.503
Sn 0.000 0.000 3.506
Sn 1.932 1.116 1.099
```